# Dy2CoHg | Alexandria | PBE | optimized geometry
# Distance to the lowest polymorph of the same formula: 286 meV per atom
# Space-group type: R-3m (166)
# Density: 8.28 g cm⁻³
data_Dy2CoHg
_space_group_name_H-M_alt 'P 1'
_space_group_IT_number 1
_cell_length_a 3.800
_cell_length_b 3.800
_cell_length_c 9.628
_cell_angle_alpha 78.62
_cell_angle_beta 78.62
_cell_angle_gamma 60.00
loop_
_space_group_symop_operation_xyz
'x,y,z'
loop_
_atom_site_label
_atom_site_type_symbol
_atom_site_fract_x
_atom_site_fract_y
_atom_site_fract_z
Co1 Co 0.500 0.500 0.500
Dy1 Dy 0.885 0.885 0.346
Dy2 Dy 0.115 0.115 0.654
Hg1 Hg 0.000 0.000 0.000

***

# Pm4SmY | Alexandria | PBE | optimized geometry
# Distance to the lowest polymorph of the same formula: 0 meV per atom
# Space-group type: C2/c (15)
# Density: 6.70 g cm⁻³
data_Pm4SmY
_space_group_name_H-M_alt 'P 1'
_space_group_IT_number 1
_cell_length_a 5.732
_cell_length_b 12.213
_cell_length_c 6.763
_cell_angle_alpha 73.12
_cell_angle_beta 115.07
_cell_angle_gamma 90.00
loop_
_space_group_symop_operation_xyz
'x,y,z'
loop_
_atom_site_label
_atom_site_type_symbol
_atom_site_fract_x
_atom_site_fract_y
_atom_site_fract_z
Pm1 Pm 0.539 0.288 0.574
Pm2 Pm 0.461 0.712 0.426
Pm3 Pm 0.796 0.045 0.092
Pm4 Pm 0.965 0.212 0.426
Pm5 Pm 0.035 0.788 0.574
Pm6 Pm 0.704 0.455 0.908
Pm7 Pm 0.296 0.545 0.092
Pm8 Pm 0.204 0.955 0.908
Sm1 Sm 0.750 0.750 0.000
Sm2 Sm 0.250 0.250 0.000
Y1 Y 0.500 0.000 0.500
Y2 Y 0.000 0.500 0.500

***

# RbRe4C2 | Alexandria | PBE | optimized geometry
# Space-group type: I4/mmm (139)
# Electronic total energy: -6.626 eV/atom
# Density: 11.95 g cm⁻³
data_RbRe4C2
_space_group_name_H-M_alt 'P 1'
_space_group_IT_number 1
_cell_length_a 4.754
_cell_length_b 4.754
_cell_length_c 6.237
_cell_angle_alpha 67.60
_cell_angle_beta 67.60
_cell_angle_gamma 90.00
loop_
_space_group_symop_operation_xyz
'x,y,z'
loop_
_atom_site_label
_atom_site_type_symbol
_atom_site_fract_x
_atom_site_fract_y
_atom_site_fract_z
Re1 Re 0.500 0.000 0.000
Re2 Re 0.738 0.738 0.523
Re3 Re 0.262 0.262 0.477
Re4 Re 0.000 0.500 0.000
C1 C 0.564 0.564 0.871
C2 C 0.436 0.436 0.129
Rb1 Rb 0.000 0.000 0.000

***

# AsHIrOsAu | Alexandria | PBE | optimized geometry
# Distance to the lowest polymorph of the same formula: 54 meV per atom
# Space-group type: Cm (8)
# Density: 15.45 g cm⁻³
data_AsHIrOsAu
_space_group_name_H-M_alt 'P 1'
_space_group_IT_number 1
_cell_length_a 4.730
_cell_length_b 3.165
_cell_length_c 10.535
_cell_angle_alpha 90.00
_cell_angle_beta 116.74
_cell_angle_gamma 90.00
loop_
_space_group_symop_operation_xyz
'x,y,z'
loop_
_atom_site_label
_atom_site_type_symbol
_atom_site_fract_x
_atom_site_fract_y
_atom_site_fract_z
Os1 Os 0.712 0.500 0.845
Os2 Os 0.712 0.000 0.345
As1 As 0.140 0.500 0.777
As2 As 0.140 0.000 0.277
H1 H 0.572 0.500 0.355
H2 H 0.572 0.000 0.855
Ir1 Ir 0.774 0.500 0.107
Ir2 Ir 0.774 0.000 0.607
Au1 Au 0.239 0.000 0.045
Au2 Au 0.239 0.500 0.545

***

# NdGaCuAg | Alexandria | PBE | optimized geometry
# Space-group type: F-43m (216)
# Electronic total energy: -3.942 eV/atom
# Density: 8.11 g cm⁻³
data_NdGaCuAg
_space_group_name_H-M_alt 'P 1'
_space_group_IT_number 1
_cell_length_a 4.815
_cell_length_b 4.815
_cell_length_c 4.815
_cell_angle_alpha 60.00
_cell_angle_beta 60.00
_cell_angle_gamma 60.00
loop_
_space_group_symop_operation_xyz
'x,y,z'
loop_
_atom_site_label
_atom_site_type_symbol
_atom_site_fract_x
_atom_site_fract_y
_atom_site_fract_z
Nd1 Nd 0.000 0.000 0.000
Ag1 Ag 0.500 0.500 0.500
Ga1 Ga 0.750 0.750 0.750
Cu1 Cu 0.250 0.250 0.250

***

# Cs4Na5Hg2 | Alexandria | PBE | optimized geometry
# Space-group type: P2/m (10)
# Electronic total energy: -1.019 eV/atom
# Density: 2.89 g cm⁻³
data_Cs4Na5Hg2
_space_group_name_H-M_alt 'P 1'
_space_group_IT_number 1
_cell_length_a 6.146
_cell_length_b 9.059
_cell_length_c 10.814
_cell_angle_alpha 93.37
_cell_angle_beta 90.00
_cell_angle_gamma 90.00
loop_
_space_group_symop_operation_xyz
'x,y,z'
loop_
_atom_site_label
_atom_site_type_symbol
_atom_site_fract_x
_atom_site_fract_y
_atom_site_fract_z
Na1 Na 0.000 0.452 0.665
Na2 Na 0.000 0.548 0.335
Na3 Na 0.000 0.862 0.862
Na4 Na 0.000 0.500 0.000
Na5 Na 0.000 0.138 0.138
Cs1 Cs 0.500 0.229 0.407
Cs2 Cs 0.500 0.771 0.593
Cs3 Cs 0.500 0.223 0.859
Cs4 Cs 0.500 0.777 0.141
Hg1 Hg 0.000 0.912 0.370
Hg2 Hg 0.000 0.088 0.630

***

# K2TaSb3O12 | Alexandria | PBE | optimized geometry
# ΔE_f (raw): -1.64 eV per atom
# Space-group type: R-3m (166)
# Density: 4.76 g cm⁻³
data_K2TaSb3O12
_space_group_name_H-M_alt 'P 1'
_space_group_IT_number 1
_cell_length_a 7.423
_cell_length_b 7.423
_cell_length_c 7.423
_cell_angle_alpha 59.32
_cell_angle_beta 59.32
_cell_angle_gamma 59.32
loop_
_space_group_symop_operation_xyz
'x,y,z'
loop_
_atom_site_label
_atom_site_type_symbol
_atom_site_fract_x
_atom_site_fract_y
_atom_site_fract_z
K1 K 0.378 0.378 0.378
K2 K 0.622 0.622 0.622
O1 O 0.076 0.673 0.673
O2 O 0.933 0.933 0.319
O3 O 0.673 0.673 0.076
O4 O 0.067 0.067 0.681
O5 O 0.327 0.924 0.327
O6 O 0.924 0.327 0.327
O7 O 0.681 0.067 0.067
O8 O 0.327 0.327 0.924
O9 O 0.933 0.319 0.933
O10 O 0.673 0.076 0.673
O11 O 0.319 0.933 0.933
O12 O 0.067 0.681 0.067
Sb1 Sb 0.500 0.000 0.000
Sb2 Sb 0.000 0.500 0.000
Sb3 Sb 0.000 0.000 0.500
Ta1 Ta 0.000 0.000 0.000

***

# CuRe2Hg | Alexandria | PBE | optimized geometry
# Space-group type: F-43m (216)
# Electronic total energy: -6.581 eV/atom
# Density: 16.77 g cm⁻³
data_CuRe2Hg
_space_group_name_H-M_alt 'P 1'
_space_group_IT_number 1
_cell_length_a 4.467
_cell_length_b 4.467
_cell_length_c 4.467
_cell_angle_alpha 60.00
_cell_angle_beta 60.00
_cell_angle_gamma 60.00
loop_
_space_group_symop_operation_xyz
'x,y,z'
loop_
_atom_site_label
_atom_site_type_symbol
_atom_site_fract_x
_atom_site_fract_y
_atom_site_fract_z
Hg1 Hg 0.750 0.750 0.750
Re1 Re 0.000 0.000 0.000
Re2 Re 0.250 0.250 0.250
Cu1 Cu 0.500 0.500 0.500